(1)
The following is a PBE calculation of a relaxed structure of SrGeIN2, from the Alexandria database.

CIF file:
```
data_SrGeIN2
_symmetry_space_group_name_H-M 'P 4/m m m'
_symmetry_Int_Tables_number 123
_symmetry_space_group_name_Hall '-P 4 2'
_cell_length_a 4.236
_cell_length_b 4.236
_cell_length_c 5.744
_cell_angle_alpha 90.00
_cell_angle_beta 90.00
_cell_angle_gamma 90.00
loop_
_atom_site_label
_atom_site_type_symbol
_atom_site_fract_x
_atom_site_fract_y
_atom_site_fract_z
Sr1 Sr 0.000 0.000 0.000
Ge1 Ge 0.500 0.500 0.500
I1 I 0.500 0.500 0.000
N1 N 0.000 0.500 0.500
```

Output
As for the energy above the most stable polymorph in this dataset: 0 meV/atom.

(2)
The following is a PBE calculation of a relaxed structure of SrGeIN2, from the Alexandria database.

CIF file:
```
data_SrGeIN2
_symmetry_space_group_name_H-M 'P 4/m m m'
_symmetry_Int_Tables_number 123
_symmetry_space_group_name_Hall '-P 4 2'
_cell_length_a 4.870
_cell_length_b 4.870
_cell_length_c 6.517
_cell_angle_alpha 90.00
_cell_angle_beta 90.00
_cell_angle_gamma 90.00
loop_
_atom_site_label
_atom_site_type_symbol
_atom_site_fract_x
_atom_site_fract_y
_atom_site_fract_z
Sr1 Sr 0.000 0.000 0.000
Ge1 Ge 0.500 0.500 0.500
I1 I 0.000 0.000 0.500
N1 N 0.000 0.500 0.000
```

Output
As for the energy above the most stable polymorph in this dataset: 719 meV/atom.

(3)
The following is a PBE calculation of a relaxed structure of SrGeI2N, from the Alexandria database.

CIF file:
```
data_SrGeI2N
_symmetry_space_group_name_H-M 'P 4/m m m'
_symmetry_Int_Tables_number 123
_symmetry_space_group_name_Hall '-P 4 2'
_cell_length_a 6.434
_cell_length_b 6.434
_cell_length_c 4.969
_cell_angle_alpha 90.00
_cell_angle_beta 90.00
_cell_angle_gamma 90.00
loop_
_atom_site_label
_atom_site_type_symbol
_atom_site_fract_x
_atom_site_fract_y
_atom_site_fract_z
Sr1 Sr 0.000 0.000 0.000
Ge1 Ge 0.500 0.500 0.500
I1 I 0.000 0.500 0.000
N1 N 0.000 0.000 0.500
```

Output
As for the energy above the most stable polymorph in this dataset: 654 meV/atom.

(4)
The following is a PBE calculation of a relaxed structure of SrGeI2N, from the Alexandria database.

CIF file:
```
data_SrGeI2N
_symmetry_space_group_name_H-M 'P 4/m m m'
_symmetry_Int_Tables_number 123
_symmetry_space_group_name_Hall '-P 4 2'
_cell_length_a 6.184
_cell_length_b 6.184
_cell_length_c 3.758
_cell_angle_alpha 90.00
_cell_angle_beta 90.00
_cell_angle_gamma 90.00
loop_
_atom_site_label
_atom_site_type_symbol
_atom_site_fract_x
_atom_site_fract_y
_atom_site_fract_z
Sr1 Sr 0.000 0.000 0.000
Ge1 Ge 0.500 0.500 0.500
I1 I 0.000 0.500 0.500
N1 N 0.500 0.500 0.000
```

Output
As for the energy above the most stable polymorph in this dataset: 0 meV/atom.

(5)
The following is a PBE calculation of a relaxed structure of TaGeI2N, from the Alexandria database.

CIF file:
```
data_TaGeI2N
_symmetry_space_group_name_H-M 'P 4/m m m'
_symmetry_Int_Tables_number 123
_symmetry_space_group_name_Hall '-P 4 2'
_cell_length_a 5.815
_cell_length_b 5.815
_cell_length_c 3.511
_cell_angle_alpha 90.00
_cell_angle_beta 90.00
_cell_angle_gamma 90.00
loop_
_atom_site_label
_atom_site_type_symbol
_atom_site_fract_x
_atom_site_fract_y
_atom_site_fract_z
Ta1 Ta 0.000 0.000 0.000
Ge1 Ge 0.500 0.500 0.500
I1 I 0.000 0.500 0.500
N1 N 0.500 0.500 0.000
```

Output
As for the energy above the most stable polymorph in this dataset: 856 meV/atom.

(6)
The following is a PBE calculation of a relaxed structure of TaGeIN2, from the Alexandria database.

CIF file:
```
data_TaGeIN2
_symmetry_space_group_name_H-M 'P 4/m m m'
_symmetry_Int_Tables_number 123
_symmetry_space_group_name_Hall '-P 4 2'
_cell_length_a 3.968
_cell_length_b 3.968
_cell_length_c 5.392
_cell_angle_alpha 90.00
_cell_angle_beta 90.00
_cell_angle_gamma 90.00
loop_
_atom_site_label
_atom_site_type_symbol
_atom_site_fract_x
_atom_site_fract_y
_atom_site_fract_z
Ta1 Ta 0.000 0.000 0.000
Ge1 Ge 0.500 0.500 0.500
I1 I 0.500 0.500 0.000
N1 N 0.000 0.500 0.500
```

Output
As for the energy above the most stable polymorph in this dataset: 1267 meV/atom.

no.,ΔE_f (raw) (meV/atom)
1,612
2,1331
3,474
4,-180
5,1192
6,1816